# 1
Material: KAcHgGe
Method: DFT, PBE-GGA
State: optimized geometry

```
4
Lattice="5.6089 0.0000 0.0000 2.8044 4.8574 0.0000 2.8044 1.6191 4.5796" Properties=species:S:1:pos:R:3 pbc="T T T"
Ac 0.0000 0.0000 0.0000
Hg 8.4133 4.8574 3.4347
K 5.6089 3.2383 2.2898
Ge 2.8044 1.6191 1.1449
```

## Properties
total magnetization = 0.00 μB per formula unit
symmetry = F-43m (216)
ΔH_f (0 K) = -0.32 eV per atom

***

# 2
Material: Ca2GePd7
Method: DFT, PBE-GGA
State: optimized geometry

```
10
Lattice="6.8001 0.0000 0.0000 3.4000 5.8890 0.0000 3.4000 1.9630 5.5522" Properties=species:S:1:pos:R:3 pbc="T T T"
Pd 6.8001 5.9748 4.2248
Pd 6.8001 1.8773 1.3274
Pd 6.8001 3.9260 2.7761
Pd 5.0258 4.9504 1.3274
Pd 8.5743 4.9504 1.3274
Ge 0.0000 0.0000 0.0000
Ca 3.4000 1.9630 1.3881
Pd 8.5743 2.9016 4.2248
Ca 10.2001 5.8890 4.1642
Pd 5.0258 2.9016 4.2248
```

## Properties
total magnetization = 0.00 μB per formula unit
symmetry = Fm-3m (225)
ΔH_f (0 K) = -0.13 eV per atom

***

# 3
Material: UPa2Au6
Method: DFT, PBE-GGA
State: optimized geometry

```
9
Lattice="-0.6640 2.1529 2.0789 -2.8288 -5.9331 5.2402 5.2570 -3.6452 5.4534" Properties=species:S:1:pos:R:3 pbc="T T T"
Pa 1.6189 -6.3856 7.1292
Pa 0.1454 -1.0398 5.6434
Au 3.0397 -6.5232 9.9852
Au 1.4212 -0.1391 2.8584
Au 0.3431 -7.2863 9.9141
Au -0.4642 -4.0936 6.3508
Au -1.2755 -0.9021 2.7873
U 0.0000 0.0000 0.0000
Au 2.2285 -3.3317 6.4218
```

## Properties
total magnetization = 2.28 μB per formula unit
symmetry = P6/mmm (191)
ΔH_f (0 K) = -0.42 eV per atom

***

# 4
Material: LiLaMn
Method: DFT, PBE-GGA
State: optimized geometry

```
3
Lattice="4.9913 0.0000 0.0000 -2.4957 4.3226 0.0000 0.0000 0.0000 3.0204" Properties=species:S:1:pos:R:3 pbc="T T T"
Mn 0.0000 2.8817 2.5216
Li 2.4957 1.4409 1.0050
La 0.0000 0.0000 2.5141
```

## Properties
total magnetization = 2.36 μB per formula unit
symmetry = P3m1 (156)
energy relative to the lowest polymorph listed for this composition = 0.2049 eV per atom
ΔH_f (0 K) = 0.50 eV per atom

***

# 5
Material: NaLiSiAu6
Method: DFT, PBE-GGA
State: optimized geometry

```
18
Lattice="6.9616 0.0000 0.0000 0.0000 9.2641 0.0000 -3.4808 -4.6320 5.4546" Properties=species:S:1:pos:R:3 pbc="T T T"
Au 2.0753 0.0410 4.0489
Au 3.4808 -2.3160 5.3153
Au 3.4808 6.9481 0.6385
Li -1.7404 -2.3160 2.7273
Au 1.4054 4.5911 1.4058
Au 2.0753 4.5911 4.0489
Au 5.5561 4.5911 1.4058
Na 3.4808 2.3160 2.4194
Au 0.0000 6.9481 0.1394
Au 0.0000 -2.3160 4.8162
Li 1.7404 -2.3160 2.7273
Na 0.0000 2.3160 3.0352
Au -2.0753 4.5911 4.0489
Au 1.4054 0.0410 1.4058
Si 3.4808 0.0000 0.0000
Au 5.5561 0.0410 1.4058
Au -2.0753 0.0410 4.0489
Si 3.4808 4.6320 0.0000
```

## Properties
total magnetization = 0.00 μB per formula unit
symmetry = Imma (74)
formation energy from raw total energies = -0.16 eV/atom

***

# 6
Material: Sc2NbCdRh
Method: DFT, PBE-GGA
State: optimized geometry

```
5
Lattice="-2.7386 2.2246 3.2758 3.4245 -1.3024 3.7473 2.4047 4.0987 -0.7731" Properties=species:S:1:pos:R:3 pbc="T T T"
Nb 0.0000 0.0000 0.0000
Sc 1.2024 2.0494 -0.3865
Sc -1.3693 1.1123 1.6379
Rh 1.5453 2.5105 3.1250
Cd 1.7122 -0.6512 1.8736
```

## Properties
total magnetization = 0.00 μB per formula unit
symmetry = P4/mmm (123)
ΔH_f (0 K) = 1.06 eV per atom

***

# 7
Material: La2ScAl
Method: DFT, PBE-GGA
State: optimized geometry

```
4
Lattice="10.6993 -0.0250 -0.0147 10.0905 3.5578 -0.0147 10.0905 1.7147 3.1174" Properties=species:S:1:pos:R:3 pbc="T T T"
La 15.2685 2.5946 1.5268
Sc 7.7201 1.3119 0.7720
Al 23.1602 3.9356 2.3160
La 0.1716 0.0292 0.0172
```

## Properties
total magnetization = 0.00 μB per formula unit
symmetry = R-3m (166)
ΔH_f (0 K) = 0.07 eV per atom

***

# 8
Material: Rb3HoCl6
Method: DFT, PBE-GGA
State: optimized geometry

```
20
Lattice="7.7880 0.0000 0.0135 0.0000 8.2106 0.0000 0.1162 0.0000 11.1224" Properties=species:S:1:pos:R:3 pbc="T T T"
Cl 5.2464 1.9238 6.3630
Rb 0.0581 0.0000 5.5612
Rb 3.7264 0.5559 2.7252
Rb 7.6785 3.5494 8.2932
Ho 0.0000 0.0000 0.0000
Ho 3.9521 4.1053 5.5680
Cl 6.6099 6.0291 10.3410
Cl 6.0815 5.5545 6.1472
Cl 4.8469 3.6929 3.1144
Cl 5.7748 1.4492 10.5567
Rb 3.8940 4.1053 0.0068
Cl 1.8227 2.6561 4.9887
Rb 4.1777 7.6547 8.4108
Cl 1.2943 2.1815 0.7950
Cl 6.8932 7.7982 2.4671
Cl 2.1294 6.7613 0.5792
Cl 1.0110 0.4124 8.6688
Rb 0.2256 4.6612 2.8428
Cl 2.6578 6.2868 4.7730
Cl 3.0573 4.5176 8.0216
```

## Properties
total magnetization = 0.00 μB per formula unit
symmetry = P2_1/c (14)
formation energy from raw total energies = -2.14 eV/atom